Entry 1:
{
  "formula": "Pr3Re2N8",
  "functional": "PBE-GGA",
  "state": "optimized geometry",
  "spacegroup": "R-3m (166)",
  "formation_energy_uncorrected_ev_per_atom": -0.65,
  "dos_ef_per_ev_fu": 8.45,
  "density_g_cm3": 7.8,
  "cell": [[-4.248, -3.520, 1.466], [0.760, -5.652, -0.253], [1.060, -3.048, 6.868]],
  "species": ["N", "Pr", "N", "N", "N", "Re", "Pr", "N", "N", "N", "Pr", "Re", "N"],
  "fractional_positions": [[0.264, 0.783, 0.690], [0.000, 0.000, 0.000], [0.682, 0.682, 0.953], [0.736, 0.736, 0.310], [0.217, 0.736, 0.310], [0.594, 0.594, 0.218], [0.201, 0.201, 0.397], [0.264, 0.264, 0.690], [0.318, 0.318, 0.047], [0.783, 0.264, 0.690], [0.799, 0.799, 0.603], [0.406, 0.406, 0.782], [0.736, 0.217, 0.310]]
}

***

Entry 2:
{
  "formula": "Tb2Pm7Tl2",
  "functional": "PBE-GGA",
  "state": "optimized geometry",
  "spacegroup": "Imm2 (44)",
  "dos_ef_per_ev_fu": 15.99,
  "ef_ev_per_atom": -0.03,
  "density_g_cm3": 7.8,
  "cell": [[-0.866, 2.738, 2.321], [-9.988, 3.253, -4.630], [-10.656, -3.239, 2.781]],
  "species": ["Tl", "Pm", "Pm", "Tl", "Pm", "Pm", "Pm", "Pm", "Tb", "Pm", "Tb"],
  "fractional_positions": [[0.744, 0.859, 0.652], [0.866, 0.395, 0.873], [0.370, 0.715, 0.544], [0.256, 0.348, 0.141], [0.839, 0.052, 0.271], [0.630, 0.456, 0.285], [0.134, 0.127, 0.605], [0.500, 0.049, 0.951], [0.500, 0.396, 0.604], [0.161, 0.729, 0.948], [0.000, 0.728, 0.272]]
}

***

Entry 3:
{
  "formula": "PrPu2Al",
  "functional": "PBE-GGA",
  "state": "optimized geometry",
  "e_above_lowest_polymorph_ev_per_atom": 0.000,
  "spacegroup": "P4/mmm (123)",
  "dos_ef_per_ev_fu": 10.85,
  "ef_ev_per_atom": -0.03,
  "density_g_cm3": 10.4,
  "cell": [[-0.368, -2.624, 4.312], [3.879, 1.855, 1.460], [-2.337, 3.411, 1.877]],
  "species": ["Pr", "Pu", "Pu", "Al"],
  "fractional_positions": [[0.500, 0.500, 0.500], [0.000, 0.500, 0.000], [0.000, 0.000, 0.500], [0.500, 0.000, 0.000]]
}

***

Entry 4:
{
  "formula": "ThGa3Pd2",
  "functional": "PBE-GGA",
  "state": "optimized geometry",
  "spacegroup": "Cmcm (63)",
  "dos_ef_per_ev_fu": 2.63,
  "ef_ev_per_atom": -0.64,
  "density_g_cm3": 9.7,
  "cell": [[5.746, 0.000, 0.000], [0.000, 6.288, 0.145], [0.000, -1.121, 6.189]],
  "species": ["Pd", "Pd", "Th", "Pd", "Ga", "Ga", "Th", "Ga", "Ga", "Pd", "Ga", "Ga"],
  "fractional_positions": [[0.000, 0.774, 0.226], [0.000, 0.226, 0.774], [0.750, 0.656, 0.656], [0.500, 0.774, 0.226], [0.250, 0.871, 0.560], [0.750, 0.440, 0.129], [0.250, 0.344, 0.344], [0.250, 0.972, 0.972], [0.250, 0.560, 0.871], [0.500, 0.226, 0.774], [0.750, 0.129, 0.440], [0.750, 0.028, 0.028]]
}

***

Entry 5:
{
  "formula": "Pm3IrRu",
  "functional": "PBE-GGA",
  "state": "optimized geometry",
  "e_above_lowest_polymorph_ev_per_atom": 0.000,
  "spacegroup": "P2_1/c (14)",
  "dos_ef_per_ev_fu": 3.16,
  "ef_ev_per_atom": -0.37,
  "density_g_cm3": 9.6,
  "cell": [[6.469, 0.000, 0.000], [0.000, 10.044, 0.373], [0.000, -3.682, 7.635]],
  "species": ["Ru", "Ir", "Pm", "Pm", "Ru", "Ir", "Ir", "Ru", "Pm", "Pm", "Pm", "Pm", "Pm", "Pm", "Ir", "Pm", "Pm", "Pm", "Pm", "Ru"],
  "fractional_positions": [[0.254, 0.993, 0.496], [0.823, 0.577, 0.048], [0.521, 0.828, 0.194], [0.479, 0.172, 0.806], [0.754, 0.507, 0.504], [0.677, 0.077, 0.048], [0.323, 0.923, 0.952], [0.246, 0.493, 0.496], [0.510, 0.794, 0.624], [0.002, 0.973, 0.204], [0.979, 0.328, 0.194], [0.010, 0.706, 0.376], [0.021, 0.672, 0.806], [0.998, 0.027, 0.796], [0.177, 0.423, 0.952], [0.498, 0.473, 0.204], [0.990, 0.294, 0.624], [0.502, 0.527, 0.796], [0.490, 0.206, 0.376], [0.746, 0.007, 0.504]]
}

***

Entry 6:
{
  "formula": "ThZrSn",
  "functional": "PBE-GGA",
  "state": "optimized geometry",
  "spacegroup": "I4mm (107)",
  "dos_ef_per_ev_fu": 2.62,
  "ef_ev_per_atom": -0.27,
  "density_g_cm3": 9.1,
  "cell": [[3.918, 0.000, 0.000], [0.000, 3.918, 0.000], [-1.959, -1.959, 5.267]],
  "species": ["Th", "Zr", "Sn"],
  "fractional_positions": [[0.005, 0.005, 0.010], [0.307, 0.307, 0.615], [0.688, 0.688, 0.376]]
}

***

Entry 7:
{
  "formula": "SrHoBi",
  "functional": "PBE-GGA",
  "state": "optimized geometry",
  "spacegroup": "Pnma (62)",
  "dos_ef_per_ev_fu": 1.61,
  "ef_ev_per_atom": -0.56,
  "density_g_cm3": 7.4,
  "cell": [[4.782, 0.000, 0.000], [0.000, 10.007, 0.000], [0.000, 0.000, 8.714]],
  "species": ["Sr", "Bi", "Bi", "Sr", "Ho", "Ho", "Bi", "Sr", "Bi", "Ho", "Ho", "Sr"],
  "fractional_positions": [[0.750, 0.666, 0.036], [0.750, 0.141, 0.760], [0.750, 0.359, 0.260], [0.250, 0.166, 0.464], [0.250, 0.553, 0.370], [0.250, 0.947, 0.870], [0.250, 0.859, 0.240], [0.750, 0.834, 0.536], [0.250, 0.641, 0.740], [0.750, 0.053, 0.130], [0.750, 0.447, 0.630], [0.250, 0.334, 0.964]]
}

***

Entry 8:
{
  "formula": "ScBe3Pt",
  "functional": "PBE-GGA",
  "state": "optimized geometry",
  "e_above_lowest_polymorph_ev_per_atom": 2.017,
  "spacegroup": "Pm-3m (221)",
  "dos_ef_per_ev_fu": 4.02,
  "ef_ev_per_atom": 1.85,
  "density_g_cm3": 5.6,
  "cell": [[-3.449, 2.179, 1.355], [-1.582, -0.020, -3.997], [-2.020, -3.705, 0.818]],
  "species": ["Pt", "Be", "Sc", "Be", "Be"],
  "fractional_positions": [[0.500, 0.500, 0.500], [0.000, 0.500, 0.000], [0.000, 0.000, 0.000], [0.500, 0.000, 0.000], [0.000, 0.000, 0.500]]
}